1.
An optimized crystal structure of BeIrBr2, computed with GGA-PBEsol.

Cell lengths 7.782, 7.782, 7.782 Å; angles 23.96, 23.96, 23.96 degrees
Fractional coordinates of all 4 atoms:
Be (0.000, 0.000, 0.000)
Ir (0.500, 0.500, 0.500)
Br (0.395, 0.395, 0.395)
Br (0.605, 0.605, 0.605)

## Properties
- DFT total energy: -15.91 eV per formula unit
- Raw formation energy: 414 meV per atom
- Symmetry: R-3m, No. 166

***

2.
An optimized crystal structure of BeIr4Br, computed with GGA-PBEsol.

Cell lengths 5.167, 5.167, 5.167 Å; angles 60.00, 60.00, 60.00 degrees
Fractional coordinates of all 6 atoms:
Be (0.000, 0.000, 0.000)
Ir (0.123, 0.626, 0.626)
Ir (0.626, 0.123, 0.626)
Ir (0.626, 0.626, 0.123)
Ir (0.626, 0.626, 0.626)
Br (0.250, 0.250, 0.250)

## Properties
- DFT total energy: -38.29 eV per formula unit
- Raw formation energy: 1146 meV per atom
- Symmetry: F-43m, No. 216

***

3.
An optimized crystal structure of BeIr2Br, computed with GGA-PBEsol.

Cell lengths 2.721, 3.547, 7.080 Å; angles 90.00, 99.89, 90.00 degrees
Fractional coordinates of all 4 atoms:
Be (0.000, 0.000, 0.000)
Ir (0.447, 0.500, 0.880)
Ir (0.852, 0.000, 0.667)
Br (0.740, 0.500, 0.417)

## Properties
- DFT total energy: -24.32 eV per formula unit
- Raw formation energy: 300 meV per atom
- ΔE to the lowest computed polymorph: 0 meV per atom
- Symmetry: Pm, No. 6

***

4.
An optimized crystal structure of Be2IrBr, computed with GGA-PBEsol.

Cell lengths 4.161, 4.161, 4.161 Å; angles 60.00, 60.00, 60.00 degrees
Fractional coordinates of all 4 atoms:
Be (0.250, 0.250, 0.250)
Be (0.750, 0.750, 0.750)
Ir (0.000, 0.000, 0.000)
Br (0.500, 0.500, 0.500)

## Properties
- DFT total energy: -16.82 eV per formula unit
- Raw formation energy: 718 meV per atom
- ΔE to the lowest computed polymorph: 682 meV per atom
- Symmetry: Fm-3m, No. 225

***

5.
An optimized crystal structure of BeIrSeBr2, computed with GGA-PBEsol.

Cell lengths 5.136, 5.136, 4.641 Å; angles 90.00, 90.00, 90.00 degrees
Fractional coordinates of all 5 atoms:
Be (0.000, 0.000, 0.000)
Ir (0.500, 0.500, 0.500)
Se (0.500, 0.500, 0.000)
Br (0.000, 0.500, 0.500)
Br (0.500, 0.000, 0.500)

## Properties
- DFT total energy: -17.68 eV per formula unit
- Raw formation energy: 746 meV per atom
- Symmetry: P4/mmm, No. 123

***

6.
An optimized crystal structure of K4BeBr, computed with GGA-PBEsol.

Cell lengths 7.466, 7.466, 7.466 Å; angles 60.00, 60.00, 60.00 degrees
Fractional coordinates of all 6 atoms:
K (0.125, 0.125, 0.125)
K (0.125, 0.125, 0.626)
K (0.125, 0.626, 0.125)
K (0.626, 0.125, 0.125)
Be (0.500, 0.500, 0.500)
Br (0.750, 0.750, 0.750)

## Properties
- DFT total energy: -8.35 eV per formula unit
- Raw formation energy: 342 meV per atom
- Symmetry: F-43m, No. 216